(1)
LaPm2Tm5Th | GGA-PBE | relaxed

Cell lengths 9.8502, 9.8502, 9.8502 Å; angles 127.90, 127.90, 76.78 degrees
Fractional positions:
La 0.2500 0.7500 0.5000
La 0.7500 0.2500 0.5000
Pm 0.1162 0.6162 0.7324
Pm 0.3838 0.1162 0.5000
Pm 0.6162 0.8838 0.5000
Pm 0.8838 0.3838 0.2676
Tm 0.0000 0.0000 0.0000
Tm 0.0743 0.1513 0.5000
Tm 0.1513 0.6513 0.0770
Tm 0.3487 0.4257 0.5000
Tm 0.4257 0.9257 0.0770
Tm 0.5000 0.5000 0.0000
Tm 0.5743 0.0743 0.9230
Tm 0.6513 0.5743 0.5000
Tm 0.8487 0.3487 0.9230
Tm 0.9257 0.8487 0.5000
Th 0.2500 0.2500 0.0000
Th 0.7500 0.7500 0.0000

As for the symmetry: No. 140. The total energy comes out at -4.633 eV/atom. The value obtained for the formation energy is 2.508 eV per formula unit.


(2)
Li2LaCo | GGA-PBE | relaxed

Cell lengths 3.6928, 3.6928, 5.4341 Å; angles 90.00, 90.00, 90.00 degrees
Fractional positions:
Li 0.0000 0.0000 0.1916
Li 0.0000 0.0000 0.8084
La 0.5000 0.5000 0.5000
Co 0.5000 0.5000 0.0000

The energy above the most stable polymorph in this dataset is 15.7 kJ per mole of atoms. As for the symmetry: No. 123. The total energy comes out at -3.672 eV/atom. The value obtained for the formation energy is 1.173 eV per formula unit.